The following is a DFT calculation (GGA-PBE) of crystalline Sc6Sb2TeAs3 at its relaxed geometry.

Cell lengths 3.9994, 8.0866, 9.0057 Å; angles 103.66, 102.83, 90.00 degrees
Element x y z (fractional)
Sc 0.3264 0.9272 0.6529
Sc 0.6621 0.5953 0.3242
Sc 0.6736 0.0728 0.3471
Sc 0.9955 0.2687 0.9911
Sc 0.0045 0.7313 0.0089
Sc 0.3379 0.4047 0.6758
Sb 0.8334 0.6670 0.6669
Sb 0.1666 0.3330 0.3331
Te 0.5000 0.0000 0.0000
As 0.5000 0.5000 0.0000
As 0.8344 0.1663 0.6688
As 0.1656 0.8337 0.3312

Computed properties:
- N(E_F): 0.206 states/eV per atom
- Raw formation energy: -1211.1 meV per atom
- Space-group type: C2/m, No. 12